Below is a PBEsol-optimized structure of BaSe2Cl2, with properties calculated at the SCAN level.

## Properties
Formation energy without anion corrections, meV per atom: -1414.8

Unit cell a=3.7582 b=3.7582 c=21.4506 alpha=90.00 beta=90.00 gamma=90.00
Closest atoms and distances in Å follow each position.
Space group I4/mmm (No. 139)
Symmetry-distinct sites (fractional):
Ba  0.0000  0.0000  0.0000 (multiplicity 2)  8 Cl 3.13
Se  0.0000  0.5000  0.2500 (multiplicity 4)  4 Se 2.66
Cl  0.0000  0.0000  0.4228 (multiplicity 4)  4 Ba 3.13, 1 Cl 3.31


Below is a PBEsol-optimized structure of BaSiCl2, with properties calculated at the SCAN level.

## Properties
Formation energy without anion corrections, meV per atom: -1101.3
Energy relative to the lowest polymorph listed for this composition, meV/atom: 0

Unit cell a=9.6130 b=3.9913 c=5.6851 alpha=90.00 beta=92.16 gamma=90.00
Closest atoms and distances in Å follow each position.
Space group C2/m (No. 12)
Symmetry-distinct sites (fractional):
Ba  0.0000  0.0000  0.0000 (multiplicity 2)  6 Cl 3.13-3.20, 4 Si 3.47
Si  0.0000  0.5000  0.5000 (multiplicity 2)  2 Cl 2.49
Cl  0.2074  0.5000  0.2504 (multiplicity 4)  1 Si 2.49


Below is a PBEsol-optimized structure of BaSiCl2, with properties calculated at the SCAN level.

## Properties
Formation energy without anion corrections, meV per atom: -981.9
Energy relative to the lowest polymorph listed for this composition, meV/atom: 119

Unit cell a=3.9346 b=5.0129 c=5.9311 alpha=90.00 beta=90.00 gamma=90.00
Closest atoms and distances in Å follow each position.
Space group Pmm2 (No. 25)
Symmetry-distinct sites (fractional):
Ba  0.0000  0.0000  0.0000 (multiplicity 1)  2 Cl 2.95-2.98
Si  0.5000  0.5000  0.7811 (multiplicity 1)  1 Cl 2.33
Cl  0.0000  0.0000  0.4972 (multiplicity 1)  2 Ba 2.95-2.98
Cl  0.5000  0.5000  0.1733 (multiplicity 1)  1 Si 2.33


Below is a PBEsol-optimized structure of BaSn3Cl, with properties calculated at the SCAN level.

## Properties
Formation energy without anion corrections, meV per atom: 947.4

Unit cell a=6.1627 b=6.1627 c=6.1627 alpha=90.00 beta=90.00 gamma=90.00
Closest atoms and distances in Å follow each position.
Space group Pm-3m (No. 221)
Symmetry-distinct sites (fractional):
Ba  0.0000  0.0000  0.0000 (multiplicity 1)  6 Sn 3.08
Sn  0.0000  0.0000  0.5000 (multiplicity 3)  2 Ba 3.08
Cl  0.5000  0.5000  0.5000 (multiplicity 1)  12 Sn 4.36


Below is a PBEsol-optimized structure of Ba2SrCl, with properties calculated at the SCAN level.

## Properties
Formation energy without anion corrections, meV per atom: -453.6
Energy relative to the lowest polymorph listed for this composition, meV/atom: 406

Unit cell a=4.2707 b=6.2519 c=6.9129 alpha=90.00 beta=90.00 gamma=90.00
Closest atoms and distances in Å follow each position.
Space group Pmmm (No. 47)
Symmetry-distinct sites (fractional):
Ba  0.0000  0.0000  0.0000 (multiplicity 1)  4 Cl 3.79, 4 Ba 4.06
Ba  0.5000  0.0000  0.5000 (multiplicity 1)  4 Sr 3.79, 4 Ba 4.06
Sr  0.0000  0.5000  0.5000 (multiplicity 1)  4 Ba 3.79, 4 Cl 4.06
Cl  0.5000  0.5000  0.0000 (multiplicity 1)  4 Ba 3.79, 4 Sr 4.06


Below is a PBEsol-optimized structure of BaSr2Cl, with properties calculated at the SCAN level.

## Properties
Formation energy without anion corrections, meV per atom: -830.1
Energy relative to the lowest polymorph listed for this composition, meV/atom: 105

Unit cell a=3.9664 b=7.1714 c=12.3303 alpha=90.00 beta=90.00 gamma=90.00
Closest atoms and distances in Å follow each position.
Space group Immm (No. 71)
Symmetry-distinct sites (fractional):
Ba  0.0000  0.0000  0.0000 (multiplicity 2)  2 Ba 3.97, 4 Cl 4.10, 8 Sr 4.29-4.30
Sr  0.0000  0.5000  0.1918 (multiplicity 4)  2 Cl 3.09
Cl  0.0000  0.0000  0.5000 (multiplicity 2)  4 Sr 3.09


Below is a PBEsol-optimized structure of BaSr2Cl, with properties calculated at the SCAN level.

## Properties
Formation energy without anion corrections, meV per atom: -934.7
Energy relative to the lowest polymorph listed for this composition, meV/atom: 0

Unit cell a=4.1378 b=4.1378 c=33.4853 alpha=90.00 beta=90.00 gamma=120.00
Closest atoms and distances in Å follow each position.
Space group R-3m (No. 166, hexagonal axes)
Symmetry-distinct sites (fractional):
Ba  0.0000  0.0000  0.0000 (multiplicity 3)  6 Ba 4.14, 6 Sr 4.23
Sr  0.0000  0.0000  0.2292 (multiplicity 6)  3 Cl 3.18
Cl  0.0000  0.0000  0.5000 (multiplicity 3)  6 Sr 3.18


Below is a PBEsol-optimized structure of Ba3SrCl, with properties calculated at the SCAN level.

## Properties
Formation energy without anion corrections, meV per atom: -775.9

Unit cell a=6.2397 b=6.2397 c=6.2397 alpha=90.00 beta=90.00 gamma=90.00
Closest atoms and distances in Å follow each position.
Space group Pm-3m (No. 221)
Symmetry-distinct sites (fractional):
Ba  0.0000  0.0000  0.5000 (multiplicity 3)  2 Cl 3.12
Sr  0.5000  0.5000  0.5000 (multiplicity 1)  12 Ba 4.41
Cl  0.0000  0.0000  0.0000 (multiplicity 1)  6 Ba 3.12


Below is a PBEsol-optimized structure of Ba2SrCl, with properties calculated at the SCAN level.

## Properties
Formation energy without anion corrections, meV per atom: -859.8
Energy relative to the lowest polymorph listed for this composition, meV/atom: 0

Unit cell a=4.3356 b=4.3356 c=10.7254 alpha=90.00 beta=90.00 gamma=90.00
Closest atoms and distances in Å follow each position.
Space group P4mm (No. 99)
Symmetry-distinct sites (fractional):
Ba  0.0000  0.0000  0.0000 (multiplicity 1)  1 Cl 3.29
Ba  0.5000  0.5000  0.3052 (multiplicity 1)  4 Cl 3.07
Sr  0.5000  0.5000  0.7158 (multiplicity 1)  5 Ba 4.32-4.40, 4 Sr 4.34
Cl  0.0000  0.0000  0.3070 (multiplicity 1)  5 Ba 3.07-3.29


Below is a PBEsol-optimized structure of BaSr2Cl, with properties calculated at the SCAN level.

## Properties
Formation energy without anion corrections, meV per atom: -821.1
Energy relative to the lowest polymorph listed for this composition, meV/atom: 114

Unit cell a=4.0897 b=7.3506 c=12.3628 alpha=90.00 beta=90.00 gamma=90.00
Closest atoms and distances in Å follow each position.
Space group Imm2 (No. 44)
Symmetry-distinct sites (fractional):
Ba  0.0000  0.0000  0.0000 (multiplicity 2)  2 Cl 3.19
Sr  0.0000  0.0000  0.3758 (multiplicity 2)  2 Cl 3.00
Sr  0.0000  0.5000  0.1824 (multiplicity 2)  6 Sr 4.09-4.38, 4 Cl 4.21, 4 Ba 4.31-4.43
Cl  0.0000  0.5000  0.6983 (multiplicity 2)  2 Sr 3.00, 2 Ba 3.19


Below is a PBEsol-optimized structure of BaSrCl2, with properties calculated at the SCAN level.

## Properties
Formation energy without anion corrections, meV per atom: -1992.6

Unit cell a=4.1218 b=4.1218 c=7.8978 alpha=90.00 beta=90.00 gamma=90.00
Closest atoms and distances in Å follow each position.
Space group P4mm (No. 99)
Symmetry-distinct sites (fractional):
Ba  0.0000  0.0000  0.0000 (multiplicity 1)  5 Cl 3.16-3.26
Sr  0.5000  0.5000  0.5370 (multiplicity 1)  5 Cl 3.03-3.08
Cl  0.0000  0.0000  0.4128 (multiplicity 1)  4 Sr 3.08, 1 Ba 3.26
Cl  0.5000  0.5000  0.1535 (multiplicity 1)  1 Sr 3.03, 4 Ba 3.16


Below is a PBEsol-optimized structure of Ba2SrCl, with properties calculated at the SCAN level.

## Properties
Formation energy without anion corrections, meV per atom: -509.7
Energy relative to the lowest polymorph listed for this composition, meV/atom: 350

Unit cell a=5.0829 b=5.0829 c=14.7687 alpha=90.00 beta=90.00 gamma=90.00
Closest atoms and distances in Å follow each position.
Space group I-4m2 (No. 119)
Symmetry-distinct sites (fractional):
Ba  0.0000  0.0000  0.0000 (multiplicity 2)  4 Cl 3.59
Ba  0.0000  0.5000  0.2500 (multiplicity 2)  4 Sr 3.59
Sr  0.0000  0.5000  0.7500 (multiplicity 2)  4 Ba 3.59
Cl  0.0000  0.0000  0.5000 (multiplicity 2)  4 Ba 3.59


Number 1: spin magnetization 0.0 μB/f.u., DOS(E_F) 2.21 states/eV/cell. Number 2: spin magnetization 0.0 μB/f.u., DOS(E_F) 3.88 states/eV/cell. Number 3: spin magnetization 1.1 μB/f.u., DOS(E_F) 0.47 states/eV/cell. Number 4: spin magnetization 0.0 μB/f.u., DOS(E_F) 8.51 states/eV/cell. Number 5: spin magnetization 0.0 μB/f.u., DOS(E_F) 4.08 states/eV/cell. Number 6: spin magnetization 0.0 μB/f.u., DOS(E_F) 6.41 states/eV/cell. Number 7: spin magnetization 0.9 μB/f.u., DOS(E_F) 7.87 states/eV/cell. Number 8: spin magnetization 1.4 μB/f.u., DOS(E_F) 6.46 states/eV/cell. Number 9: spin magnetization 1.4 μB/f.u., DOS(E_F) 4.29 states/eV/cell. Number 10: spin magnetization 0.2 μB/f.u., DOS(E_F) 7.45 states/eV/cell. Number 11: spin magnetization 0.0 μB/f.u., DOS(E_F) 1.47 states/eV/cell. Number 12: spin magnetization 0.9 μB/f.u., DOS(E_F) 5.90 states/eV/cell.